Entry from Alexandria: a geometry-optimized Na2SmThTe4 structure (PBE).

a = 7.7093 Å, b = 4.4394 Å, c = 8.1062 Å
α = 90.00°, β = 108.33°, γ = 90.00°
Closest atoms and distances in Å follow each position.
Sites, in units of the cell vectors:
Na 0.0000 0.0000 0.0000  6 Te 3.24-3.25
Na 0.5000 0.5000 0.0000  6 Te 3.24-3.25
Sm 0.0000 0.5000 0.5000  6 Te 3.17
Th 0.5000 0.0000 0.5000  6 Te 3.16-3.18
Te 0.2471 0.0000 0.7403  1 Th 3.16, 2 Sm 3.17, 3 Na 3.25
Te 0.2518 0.5000 0.2572  1 Sm 3.17, 2 Th 3.18, 3 Na 3.24
Te 0.7482 0.5000 0.7428  1 Sm 3.17, 2 Th 3.18, 3 Na 3.24
Te 0.7529 0.0000 0.2597  1 Th 3.16, 2 Sm 3.17, 3 Na 3.25

As for the space group: P2/m. Its total energy is -37.02 eV per cell. For the total magnetization, the calculation gives 0.000 μB/atom.



Entry from Alexandria: a geometry-optimized Na3Sm2ThTe6 structure (PBE).

a = 7.7346 Å, b = 7.7346 Å, c = 8.0639 Å
α = 99.20°, β = 99.20°, γ = 119.99°
Closest atoms and distances in Å follow each position.
Sites, in units of the cell vectors:
Na 0.0000 0.0000 0.0000  6 Te 3.25-3.26
Na 0.3327 0.6673 0.0000  6 Te 3.25-3.26
Na 0.6673 0.3327 0.0000  6 Te 3.25-3.26
Sm 0.1666 0.8334 0.5000  6 Te 3.17
Sm 0.8334 0.1666 0.5000  6 Te 3.17
Th 0.5000 0.5000 0.5000  6 Te 3.16
Te 0.0877 0.4200 0.2597  1 Th 3.16, 2 Sm 3.17, 3 Na 3.25
Te 0.2479 0.2479 0.7402  1 Th 3.16, 2 Sm 3.17, 3 Na 3.26
Te 0.4200 0.0877 0.2597  1 Th 3.16, 2 Sm 3.17, 3 Na 3.25
Te 0.5800 0.9123 0.7403  1 Th 3.16, 2 Sm 3.17, 3 Na 3.25
Te 0.7521 0.7521 0.2598  1 Th 3.16, 2 Sm 3.17, 3 Na 3.26
Te 0.9123 0.5800 0.7403  1 Th 3.16, 2 Sm 3.17, 3 Na 3.25

As for the space group: C2/m. Its total energy is -54.68 eV per cell. For the total magnetization, the calculation gives 0.000 μB/atom.